A plane-wave DFT calculation with GGA-PBE was carried out for a geometry-optimized K2ErNp3O12 structure.

Geometry as CIF:
```
data_K2ErNp3O12
_chemical_formula_sum 'K2 Er1 Np3 O12'
_cell_length_a 7.755
_cell_length_b 7.755
_cell_length_c 7.755
_cell_angle_alpha 62.04
_cell_angle_beta 62.04
_cell_angle_gamma 62.04
_space_group_name_H-M_alt 'P 1'
_space_group_IT_number 1
loop_
_space_group_symop_operation_xyz
'x,y,z'
loop_
_atom_site_label
_atom_site_type_symbol
_atom_site_fract_x
_atom_site_fract_y
_atom_site_fract_z
K1 K 0.665 0.665 0.665
K2 K 0.335 0.335 0.335
Er1 Er 0.000 0.000 0.000
Np1 Np 0.500 0.000 0.000
Np2 Np 0.000 0.500 0.000
Np3 Np 0.000 0.000 0.500
O1 O 0.311 0.311 0.939
O2 O 0.929 0.929 0.337
O3 O 0.337 0.929 0.929
O4 O 0.939 0.311 0.311
O5 O 0.929 0.337 0.929
O6 O 0.311 0.939 0.311
O7 O 0.689 0.689 0.061
O8 O 0.071 0.071 0.663
O9 O 0.663 0.071 0.071
O10 O 0.061 0.689 0.689
O11 O 0.071 0.663 0.071
O12 O 0.689 0.061 0.689
```

N(E_F) ... 10.7 states/eV/cell
DFT total energy ... -8.5674 eV/atom